1.
# Ti2PtAu2 GGA-PBE optimized geometry
data_Ti2PtAu2
_space_group_name_H-M_alt 'P 4/m b m'
_space_group_IT_number 127
_space_group_name_Hall '-P 4 2ab'
_cell_length_a 7.752
_cell_length_b 7.752
_cell_length_c 2.927
_cell_angle_alpha 90.00
_cell_angle_beta 90.00
_cell_angle_gamma 90.00
loop_
_atom_site_label
_atom_site_type_symbol
_atom_site_fract_x
_atom_site_fract_y
_atom_site_fract_z
_atom_site_occupancy
Ti1 Ti 0.168 0.332 0.000 1
Pt1 Pt 0.000 0.000 0.000 1
Au1 Au 0.130 0.630 0.500 1
# DFT formation energy	-82.6	kJ/mol of formula units
# theoretical density	12.9	g/cm³
# magnetization	0.00	μB per cell
# excess energy over the best structure of this formula in the dataset	168.7	meV/atom

---

2.
# CrIn3S6 GGA-PBE optimized geometry
data_CrIn3S6
_space_group_name_H-M_alt 'R 3'
_space_group_IT_number 146
_space_group_name_Hall 'R 3'
_cell_length_a 6.5039
_cell_length_b 6.5039
_cell_length_c 17.3937
_cell_angle_alpha 90.00
_cell_angle_beta 90.00
_cell_angle_gamma 120.00
loop_
_atom_site_label
_atom_site_type_symbol
_atom_site_fract_x
_atom_site_fract_y
_atom_site_fract_z
_atom_site_occupancy
Cr1 Cr 0.0000 0.0000 0.0000 1
In1 In 0.0000 0.0000 0.2087 1
In2 In 0.0000 0.0000 0.4885 1
In3 In 0.0000 0.0000 0.6972 1
S1 S 0.0021 0.7159 0.0914 1
S2 S 0.0050 0.3713 0.2627 1
# theoretical density	4.6	g/cm³
# energy relative to the elements, uncorrected	-0.54	eV/atom
# magnetization	9.00	μB per cell

---

3.
# Dy2Si4Ru5 GGA-PBE optimized geometry
data_Dy2Si4Ru5
_space_group_name_H-M_alt 'F m m m'
_space_group_IT_number 69
_space_group_name_Hall '-F 2 2'
_cell_length_a 5.808
_cell_length_b 9.928
_cell_length_c 12.893
_cell_angle_alpha 90.00
_cell_angle_beta 90.00
_cell_angle_gamma 90.00
loop_
_atom_site_label
_atom_site_type_symbol
_atom_site_fract_x
_atom_site_fract_y
_atom_site_fract_z
_atom_site_occupancy
Dy1 Dy 0.000 0.000 0.129 1
Si1 Si 0.000 0.148 0.365 1
Ru1 Ru 0.000 0.000 0.500 1
Ru2 Ru 0.250 0.250 0.000 1
Ru3 Ru 0.250 0.250 0.250 1
# theoretical density	8.4	g/cm³
# energy relative to the elements, uncorrected	-0.74	eV/atom
# magnetization	0.00	μB per cell